Here is SrLaIn after structural relaxation from the Alexandria database. Energies are from PBE.

ΔE_f, eV/atom: -0.23
Magnetic moment, μB/f.u.: 0.0
Raw total energy, eV/atom: -3.348
E above lowest polymorph, eV/atom: 0.1397

abc: 3.927 9.574 9.574
angles: 35.86 90.00 90.00
Sites, in units of the cell vectors:
Sr  0.000  0.000  0.000
Sr  0.000  0.340  0.340
La  0.000  0.642  0.642
La  0.500  0.791  0.791
In  0.500  0.181  0.181
In  0.500  0.491  0.491